1.
A plane-wave DFT calculation with PBE-GGA was carried out for a geometry-optimized BiAs2Pd structure.

Lattice parameters (Å, degrees): 8.7967 8.7967 8.7967 24.29 24.29 24.29
Closest atoms and distances in Å follow each position.
Positions (direct):
Bi (0.0000, 0.0000, 0.0000)  2 As 2.96
As (0.1157, 0.1157, 0.1157)  3 Pd 2.50
As (0.8843, 0.8843, 0.8843)  3 Pd 2.50
Pd (0.5000, 0.5000, 0.5000)  6 As 2.50

space group	R-3m (166)
volume	25.3	Å³/atom
D(E_F)	0.34	states/eV per atom
energy	-18.46	eV/cell
calculated formation energy	-0.02	eV/atom

2.
A plane-wave DFT calculation with PBE-GGA was carried out for a geometry-optimized BiAsPd5 structure.

Lattice parameters (Å, degrees): 6.7039 6.7039 7.3261 113.49 113.49 69.26
Closest atoms and distances in Å follow each position.
Positions (direct):
Bi (0.1720, 0.8280, 0.7500)  7 Pd 2.77-2.93
Bi (0.8280, 0.1720, 0.2500)  7 Pd 2.77-2.93
As (0.0000, 0.5000, 0.0000)  6 Pd 2.40-2.50
As (0.5000, 0.0000, 0.5000)  6 Pd 2.40-2.50
Pd (0.0470, 0.4161, 0.6668)  1 As 2.40
Pd (0.1916, 0.8084, 0.2500)  2 As 2.50, 1 Bi 2.77
Pd (0.3841, 0.3984, 0.5329)  1 As 2.44, 1 Pd 2.67
Pd (0.3984, 0.3841, 0.0329)  1 As 2.44, 1 Pd 2.67
Pd (0.4161, 0.0470, 0.1668)  1 As 2.40
Pd (0.5839, 0.9530, 0.8332)  1 As 2.40
Pd (0.6016, 0.6159, 0.9671)  1 As 2.44, 1 Pd 2.67
Pd (0.6159, 0.6016, 0.4671)  1 As 2.44, 1 Pd 2.67
Pd (0.8084, 0.1916, 0.7500)  2 As 2.50, 1 Bi 2.77
Pd (0.9530, 0.5839, 0.3332)  1 As 2.40

space group	C2/c (15)
volume	19.2	Å³/atom
D(E_F)	0.57	states/eV per atom
energy	-70.61	eV/cell
calculated formation energy	-0.12	eV/atom

What is the formula in the first record?
BiAs2Pd

What is the D(E_F) in the first record?
0.34 states/eV per atom

Among the records above, which one has the lowest calculated formation energy?
BiAsPd5

Which value of D(E_F) does entry 1 give?
0.34 states/eV per atom